Entry 1:
Below is crystalline RbNaLi2As at its relaxed geometry, with properties calculated at the PBE level.

Cell lengths 5.152, 5.152, 5.787 Å; angles 90.00, 90.00, 90.00 degrees
Fractional coordinates of all 5 atoms:
Rb 0.500 0.500 0.500
As 0.000 0.000 0.000
Li 0.500 0.000 0.000
Li 0.000 0.500 0.000
Na 0.000 0.000 0.500

Values from the calculation:
M_tot   0.000 μB per cell
Energy of formation   -0.30 eV per atom
Space-group type   P4/mmm, No. 123

=====

Entry 2:
Below is crystalline TlSiPt2 at its relaxed geometry, with properties calculated at the PBE level.

Cell lengths 7.272, 4.606, 3.262 Å; angles 90.06, 63.26, 129.06 degrees
Fractional coordinates of all 4 atoms:
Pt 0.000 0.000 0.000
Si 0.000 0.500 0.500
Tl 0.500 0.500 0.000
Pt 0.500 0.000 0.500

Values from the calculation:
M_tot   0.000 μB per cell
Space-group type   Cmmm, No. 65
Uncorrected formation energy   0.105 eV per atom

=====

Entry 3:
Below is crystalline MnFe2W at its relaxed geometry, with properties calculated at the PBE level.

Cell lengths 2.633, 2.633, 6.896 Å; angles 90.00, 90.00, 90.05 degrees
Site moments in Bohr magnetons follow the coordinates.
Fractional coordinates of all 4 atoms:
Fe 0.000 0.000 0.026  -0.14
Mn 0.500 0.500 0.250  0.47
W 0.500 0.500 0.750  0.04
Fe 0.000 0.000 0.474  -0.14

Values from the calculation:
M_tot   0.235 μB per cell
Energy of formation   0.17 eV per atom
Space-group type   P4/mmm, No. 123

=====

Entry 4:
Below is crystalline Rb2MnP2 at its relaxed geometry, with properties calculated at the PBE level.

Cell lengths 5.753, 8.236, 8.236 Å; angles 54.30, 69.56, 69.56 degrees
Site moments in Bohr magnetons follow the coordinates.
Fractional coordinates of all 10 atoms:
P 0.412 0.746 0.430  -0.02
P 0.088 0.570 0.254  -0.02
Rb 0.651 0.689 0.009  0.00
Rb 0.151 0.009 0.689  0.00
P 0.588 0.254 0.570  -0.02
Rb 0.349 0.311 0.991  0.00
P 0.912 0.430 0.746  -0.02
Mn 0.750 0.500 0.500  0.71
Rb 0.849 0.991 0.311  0.00
Mn 0.250 0.500 0.500  0.71

Values from the calculation:
M_tot   1.588 μB per cell
Energy of formation   -0.35 eV per atom
Space-group type   Ibam, No. 72